1.
! La5Nd8Sn (PBE, optimized geometry); values from VASP
&SYSTEM
  ibrav = 0, nat = 14, ntyp = 3
/
ATOMIC_SPECIES
Nd 144.24 Nd.upf
La 138.91 La.upf
Sn 118.71 Sn.upf
ATOMIC_POSITIONS crystal
Nd 0.554 0.342 0.895
Nd 0.728 0.318 0.410
Nd 0.481 0.917 0.934
Nd 0.553 0.658 0.212
Nd 0.481 0.548 0.564
Nd 0.016 0.452 0.933
Nd 0.017 0.083 0.564
Nd 0.092 0.682 0.410
La 0.558 0.000 0.558
La 0.938 0.229 0.167
La 0.274 0.178 0.096
La 0.917 0.822 0.095
La 0.938 0.771 0.709
Sn 0.202 0.500 0.702
CELL_PARAMETERS angstrom
-7.595 2.307 3.802
2.817 -6.020 5.769
6.636 5.657 -1.190
! - total DFT energy (no corrections) (eV per cell) = -66.19


2.
! Pr2ThSb (PBE, optimized geometry); values from VASP
&SYSTEM
  ibrav = 0, nat = 4, ntyp = 3
/
ATOMIC_SPECIES
Sb 121.76 Sb.upf
Th 232.04 Th.upf
Pr 140.91 Pr.upf
ATOMIC_POSITIONS crystal
Sb 0.500 0.000 0.000
Th 0.500 0.500 0.500
Pr 0.000 0.000 0.500
Pr 0.000 0.500 0.000
CELL_PARAMETERS angstrom
4.836 0.000 0.000
0.000 5.004 0.000
0.000 0.000 5.004
! - total DFT energy (no corrections) (eV per cell) = -22.98
! - uncorrected formation energy (eV/atom) = -0.47


3.
! TmLuCl (PBE, optimized geometry); values from VASP
&SYSTEM
  ibrav = 0, nat = 3, ntyp = 3
/
ATOMIC_SPECIES
Tm 168.93 Tm.upf
Cl 35.45 Cl.upf
Lu 174.97 Lu.upf
ATOMIC_POSITIONS crystal
Tm 0.000 0.000 0.020
Cl 0.667 0.333 0.334
Lu 0.333 0.667 0.646
CELL_PARAMETERS angstrom
-0.098 3.578 0.202
-2.248 -1.734 -2.189
-4.620 -0.414 5.074
! - total DFT energy (no corrections) (eV per cell) = -13.46
! - uncorrected formation energy (eV/atom) = -0.87


4.
! ZrBe2I8 (PBE, optimized geometry); values from VASP
&SYSTEM
  ibrav = 0, nat = 11, ntyp = 3
/
ATOMIC_SPECIES
I 126.90 I.upf
Be 9.01 Be.upf
Zr 91.22 Zr.upf
ATOMIC_POSITIONS crystal
I 0.752 0.645 0.645
I 0.248 0.355 0.355
I 0.761 0.721 0.092
I 0.239 0.279 0.908
I 0.761 0.092 0.721
I 0.239 0.908 0.279
I 0.273 0.819 0.819
I 0.727 0.181 0.181
Be 0.647 0.812 0.812
Be 0.353 0.188 0.188
Zr 0.000 0.000 0.000
CELL_PARAMETERS angstrom
-4.122 -1.526 4.970
-4.550 -5.324 -4.875
3.802 -7.515 1.381
! - total DFT energy (no corrections) (eV per cell) = -35.56
! - uncorrected formation energy (eV/atom) = -0.65